1.
A plane-wave DFT calculation with PBE-GGA was carried out for a relaxed structure of Ca2CuGe.

Summary:
- E (eV for the cell shown) = -25.34
- density (kg/m3) = 3477
- volume (Å³/cell) = 206.7

```
Ca2CuGe
1.0
7.9222 0.0000 0.0000
0.0000 7.9222 0.0000
3.9611 3.9611 3.2929
Ge Cu Ca
2 2 4
direct
0.0000 0.0000 0.0000 Ge
0.7500 0.2500 0.5000 Ge
0.2500 0.7500 0.5000 Cu
0.5000 0.5000 0.0000 Cu
0.8750 0.8655 0.7500 Ca
0.3750 0.3845 0.7500 Ca
0.6155 0.1250 0.2500 Ca
0.1345 0.6250 0.2500 Ca
```

2.
A plane-wave DFT calculation with PBE-GGA was carried out for a relaxed structure of CaCuGe2.

Summary:
- E (eV for the cell shown) = -16.64
- density (kg/m3) = 5173
- volume (Å³/cell) = 79.9

```
CaCuGe2
1.0
4.0951 0.0000 0.0000
2.0476 3.5465 0.0000
2.0476 1.1822 5.5013
Ge Ca Cu
2 1 1
direct
0.2180 0.2180 0.3461 Ge
0.7820 0.7820 0.6539 Ge
0.0000 0.0000 0.0000 Ca
0.5000 0.5000 0.5000 Cu
```

3.
A plane-wave DFT calculation with PBE-GGA was carried out for a relaxed structure of CaCuGe3.

Summary:
- E (eV for the cell shown) = -19.55
- density (kg/m3) = 4801
- volume (Å³/cell) = 111.2

```
CaCuGe3
1.0
-2.3774 -2.2996 -3.4906
-2.1958 -2.7299 3.2940
-3.5568 3.2224 0.2996
Ge Cu Ca
3 1 1
direct
0.0000 0.0000 0.5000 Ge
0.0000 0.5000 0.0000 Ge
0.5000 0.0000 0.0000 Ge
0.0000 0.0000 0.0000 Cu
0.5000 0.5000 0.5000 Ca
```

4.
A plane-wave DFT calculation with PBE-GGA was carried out for a relaxed structure of Ca2CuGe2.

Summary:
- E (eV for the cell shown) = -17.86
- density (kg/m3) = 3755
- volume (Å³/cell) = 127.8

```
Ca2CuGe2
1.0
-2.8099 0.1347 -5.2155
4.6963 -2.5150 -2.5952
-0.4527 -4.4848 -3.2384
Ge Ca Cu
2 2 1
direct
0.3290 0.3290 0.3421 Ge
0.6710 0.6710 0.6579 Ge
0.2500 0.7500 0.5000 Ca
0.7500 0.2500 0.5000 Ca
0.0000 0.0000 0.0000 Cu
```

5.
A plane-wave DFT calculation with PBE-GGA was carried out for a relaxed structure of CaCuGe2.

Summary:
- E (eV for the cell shown) = -15.56
- density (kg/m3) = 5378
- volume (Å³/cell) = 76.9

```
CaCuGe2
1.0
-1.6819 -4.3367 1.0671
-1.4909 -0.9573 4.4311
-4.6522 -0.6066 0.8735
Ca Cu Ge
1 1 2
direct
0.0000 0.0000 0.0000 Ca
0.5000 0.5000 0.5000 Cu
0.7500 0.7500 0.7500 Ge
0.2500 0.2500 0.2500 Ge
```

6.
A plane-wave DFT calculation with PBE-GGA was carried out for a relaxed structure of CaCu2Ge2.

Summary:
- E (eV for the cell shown) = -39.67
- density (kg/m3) = 6026
- volume (Å³/cell) = 172.2

```
CaCu2Ge2
1.0
-3.3188 -6.8019 -0.9887
0.5250 -1.3456 7.4948
-2.6538 1.2356 0.4077
Ge Cu Ca
4 4 2
direct
0.1731 0.6731 0.5000 Ge
0.6731 0.8269 0.5000 Ge
0.8269 0.3269 0.5000 Ge
0.3269 0.1731 0.5000 Ge
0.1184 0.3816 0.0000 Cu
0.3816 0.8816 0.0000 Cu
0.8816 0.6184 0.0000 Cu
0.6184 0.1184 0.0000 Cu
0.5000 0.5000 0.0000 Ca
0.0000 0.0000 0.0000 Ca
```

7.
A plane-wave DFT calculation with PBE-GGA was carried out for a relaxed structure of CaCu2Ge.

Summary:
- E (eV for the cell shown) = -30.59
- density (kg/m3) = 4472
- volume (Å³/cell) = 178.1

```
CaCu2Ge
1.0
-2.1921 1.0897 3.9878
3.0622 -2.6044 2.3950
5.2629 5.7297 4.0727
Cu Ge Ca
4 2 2
direct
0.8750 0.1248 0.7500 Cu
0.8748 0.1250 0.2500 Cu
0.3750 0.1252 0.7500 Cu
0.8752 0.6250 0.2500 Cu
0.7500 0.2500 0.5000 Ge
0.0000 0.0000 0.0000 Ge
0.2500 0.7500 0.5000 Ca
0.5000 0.5000 0.0000 Ca
```

8.
A plane-wave DFT calculation with PBE-GGA was carried out for a relaxed structure of Ca3Cu2Ge2.

Summary:
- E (eV for the cell shown) = -106.66
- density (kg/m3) = 4278
- volume (Å³/cell) = 609.6

```
Ca3Cu2Ge2
1.0
5.6192 0.0000 0.0000
0.0000 8.1628 0.0000
0.0000 0.0000 13.2905
Ge Cu Ca
8 8 12
direct
0.3538 0.2500 0.5000 Ge
0.1718 0.5921 0.7500 Ge
0.6462 0.7500 0.5000 Ge
0.3538 0.2500 0.0000 Ge
0.6462 0.7500 0.0000 Ge
0.8282 0.4079 0.2500 Ge
0.1718 0.9079 0.2500 Ge
0.8282 0.0921 0.7500 Ge
0.3878 0.5324 0.9138 Cu
0.6122 0.4676 0.4138 Cu
0.6122 0.4676 0.0862 Cu
0.3878 0.9676 0.0862 Cu
0.6122 0.0324 0.9138 Cu
0.3878 0.9676 0.4138 Cu
0.3878 0.5324 0.5862 Cu
0.6122 0.0324 0.5862 Cu
0.8728 0.1167 0.3941 Ca
0.3473 0.2564 0.2500 Ca
0.6527 0.7436 0.7500 Ca
0.8728 0.3833 0.6059 Ca
0.8728 0.1167 0.1059 Ca
0.3473 0.2436 0.7500 Ca
0.1272 0.8833 0.8941 Ca
0.8728 0.3833 0.8941 Ca
0.6527 0.7564 0.2500 Ca
0.1272 0.8833 0.6059 Ca
0.1272 0.6167 0.1059 Ca
0.1272 0.6167 0.3941 Ca
```

9.
A plane-wave DFT calculation with PBE-GGA was carried out for a relaxed structure of Ca2Cu2Ge3.

Summary:
- E (eV for the cell shown) = -58.23
- density (kg/m3) = 5202
- distance to the lowest polymorph of the same formula (eV/f.u.) = 0.00
- volume (Å³/cell) = 271.4

```
Ca2Cu2Ge3
1.0
-1.5807 -3.8540 -1.1949
5.0841 -0.6931 -4.4901
5.9132 -2.1686 7.0302
Ca Ge Cu
4 6 4
direct
0.8402 0.7500 0.6803 Ca
0.0559 0.7500 0.1118 Ca
0.1598 0.2500 0.3197 Ca
0.9441 0.2500 0.8882 Ca
0.4370 0.5678 0.8741 Ge
0.7754 0.2500 0.5508 Ge
0.5630 0.0678 0.1259 Ge
0.4370 0.9322 0.8741 Ge
0.2246 0.7500 0.4492 Ge
0.5630 0.4322 0.1259 Ge
0.3101 0.0629 0.6201 Cu
0.6899 0.9371 0.3799 Cu
0.6899 0.5629 0.3799 Cu
0.3101 0.4371 0.6201 Cu
```

10.
A plane-wave DFT calculation with PBE-GGA was carried out for a relaxed structure of CaCu2GeH.

Summary:
- E (eV for the cell shown) = -39.64
- density (kg/m3) = 5459
- volume (Å³/cell) = 146.5

```
CaCu2GeH
1.0
-0.5728 3.8928 0.9308
-3.7942 -1.7254 -3.9007
-4.2695 -1.8130 4.9548
H Ca Cu Ge
2 2 4 2
direct
0.0000 0.0000 0.5000 H
0.0000 0.0000 0.0000 H
0.5632 0.1263 0.2500 Ca
0.4368 0.8737 0.7500 Ca
0.1586 0.3173 0.9386 Cu
0.8414 0.6827 0.4386 Cu
0.1586 0.3173 0.5614 Cu
0.8414 0.6827 0.0614 Cu
0.2795 0.5591 0.2500 Ge
0.7205 0.4409 0.7500 Ge
```

11.
A plane-wave DFT calculation with PBE-GGA was carried out for a relaxed structure of Ca2Cu3HgGe4.

Summary:
- E (eV for the cell shown) = -37.93
- density (kg/m3) = 6601
- volume (Å³/cell) = 191.7

```
Ca2Cu3HgGe4
1.0
-3.4837 -1.2792 -2.0581
-1.1632 -2.2790 3.3855
-5.3314 8.3849 3.8126
Cu Ge Hg Ca
3 4 1 2
direct
0.0000 0.5000 0.1256 Cu
0.5000 0.0000 0.8744 Cu
0.0000 0.0000 0.5000 Cu
0.5000 0.5000 0.0000 Ge
0.5000 0.0000 0.6510 Ge
0.0000 0.0000 0.0000 Ge
0.0000 0.5000 0.3490 Ge
0.5000 0.5000 0.5000 Hg
0.0000 0.5000 0.7570 Ca
0.5000 0.0000 0.2430 Ca
```

12.
A plane-wave DFT calculation with PBE-GGA was carried out for a relaxed structure of Ca2Cu4HgGe3.

Summary:
- E (eV for the cell shown) = -37.35
- density (kg/m3) = 6700
- volume (Å³/cell) = 186.6

```
Ca2Cu4HgGe3
1.0
-1.7371 -2.3938 -3.0641
1.6144 -3.4971 1.8167
-8.5456 -1.0160 5.6384
Cu Ge Ca Hg
4 3 2 1
direct
0.0000 0.5000 0.3542 Cu
0.5000 0.0000 0.6458 Cu
0.0000 0.0000 0.0000 Cu
0.5000 0.5000 0.0000 Cu
0.0000 0.0000 0.5000 Ge
0.0000 0.5000 0.1239 Ge
0.5000 0.0000 0.8761 Ge
0.5000 0.0000 0.2365 Ca
0.0000 0.5000 0.7635 Ca
0.5000 0.5000 0.5000 Hg
```